First-principles (GGA-PBEsol) data for a relaxed structure of Zr2Te4Cl2O11, as listed in Alexandria via LeMat-Bulk.

Computed properties:
The calculation puts the total magnetic moment at 0.0 μB/cell. As for the total energy: -6.723 eV per atom. As for the uncorrected formation energy: -1.77 eV/atom.

Unit cell a=7.8009 b=9.5909 c=10.2996 alpha=111.60 beta=108.59 gamma=96.82
Sites, in units of the cell vectors:
Zr1 0.6276 0.8913 0.8921
Zr2 0.3724 0.1087 0.1079
Zr3 0.8888 0.6123 0.6207
Zr4 0.1112 0.3877 0.3793
Te1 0.2729 0.5120 0.7953
Te2 0.7271 0.4880 0.2047
Te3 0.9985 0.7395 0.0045
Te4 0.0015 0.2605 0.9955
Te5 0.7932 0.9853 0.2713
Te6 0.2068 0.0147 0.7287
Te7 0.4664 0.7560 0.4608
Te8 0.5336 0.2440 0.5392
Cl1 0.1033 0.8803 0.3740
Cl2 0.8967 0.1197 0.6260
Cl3 0.6392 0.4011 0.8953
Cl4 0.3608 0.5989 0.1047
O1 0.4986 0.8555 0.6655
O2 0.5014 0.1445 0.3345
O3 0.6656 0.6614 0.4793
O4 0.3344 0.3386 0.5207
O5 0.5948 0.9997 0.1103
O6 0.4052 0.0003 0.8897
O7 0.8363 0.8756 0.0868
O8 0.1637 0.1244 0.9132
O9 0.0813 0.6175 0.8343
O10 0.9187 0.3825 0.1657
O11 0.8230 0.7470 0.8247
O12 0.1770 0.2530 0.1753
O13 0.1184 0.5033 0.6020
O14 0.8816 0.4967 0.3980
O15 0.2781 0.5807 0.4042
O16 0.7219 0.4193 0.5958
O17 0.4581 0.6845 0.8482
O18 0.5419 0.3155 0.1518
O19 0.1871 0.9157 0.0654
O20 0.8129 0.0843 0.9346
O21 0.9454 0.1792 0.3345
O22 0.0546 0.8208 0.6655

***

First-principles (GGA-PBEsol) data for a relaxed structure of TiCl2O, as listed in Alexandria via LeMat-Bulk.

Computed properties:
The calculation puts the total magnetic moment at 1.7 μB/cell. As for the total energy: -4.178 eV per atom. As for the uncorrected formation energy: 0.22 eV/atom.

Unit cell a=3.2979 b=3.2979 c=8.3599 alpha=78.62 beta=78.62 gamma=60.00
Sites, in units of the cell vectors:
Cl1 0.9112 0.9112 0.2664
Cl2 0.0888 0.0888 0.7336
O1 0.5000 0.5000 0.5000
Ti1 0.0000 0.0000 0.0000

***

First-principles (GGA-PBEsol) data for a relaxed structure of TlW2Cl6O2, as listed in Alexandria via LeMat-Bulk.

Computed properties:
The calculation puts the total magnetic moment at 3.0 μB/cell. As for the total energy: -5.957 eV per atom. As for the uncorrected formation energy: -1.16 eV/atom.

Unit cell a=3.7821 b=6.6301 c=11.0644 alpha=71.77 beta=80.16 gamma=73.43
Sites, in units of the cell vectors:
Tl1 0.5000 0.5000 0.5000
W1 0.0024 0.1635 0.8318
W2 0.9976 0.8365 0.1682
Cl1 0.1342 0.7761 0.9555
Cl2 0.8639 0.5409 0.7312
Cl3 0.1416 0.0820 0.6348
Cl4 0.8584 0.9180 0.3652
Cl5 0.1361 0.4591 0.2688
Cl6 0.8658 0.2239 0.0445
O1 0.5025 0.1593 0.8356
O2 0.4975 0.8407 0.1644

***

First-principles (GGA-PBEsol) data for a relaxed structure of VClO, as listed in Alexandria via LeMat-Bulk.

Computed properties:
The calculation puts the total magnetic moment at 4.0 μB/cell. As for the total energy: -7.413 eV per atom. As for the uncorrected formation energy: -1.78 eV/atom.

Unit cell a=3.2773 b=3.8324 c=7.9035 alpha=90.00 beta=90.00 gamma=90.00
Sites, in units of the cell vectors:
Cl1 0.0000 0.5000 0.1864
Cl2 0.5000 0.0000 0.8136
O1 0.0000 0.5000 0.5571
O2 0.5000 0.0000 0.4429
V1 0.0000 0.0000 0.6026
V2 0.5000 0.5000 0.3974

***

First-principles (GGA-PBEsol) data for a relaxed structure of W3ClO, as listed in Alexandria via LeMat-Bulk.

Computed properties:
The calculation puts the total magnetic moment at 0.0 μB/cell. As for the total energy: -7.523 eV per atom. As for the uncorrected formation energy: 2.21 eV/atom.

Unit cell a=4.3312 b=4.3312 c=4.3312 alpha=90.00 beta=90.00 gamma=90.00
Sites, in units of the cell vectors:
O1 0.5000 0.5000 0.5000
W1 0.0000 0.5000 0.0000
W2 0.0000 0.0000 0.5000
W3 0.5000 0.0000 0.0000
Cl1 0.0000 0.0000 0.0000

***

First-principles (GGA-PBEsol) data for a relaxed structure of WClO2, as listed in Alexandria via LeMat-Bulk.

Computed properties:
The calculation puts the total magnetic moment at 0.0 μB/cell. As for the total energy: -7.813 eV per atom. As for the uncorrected formation energy: -1.23 eV/atom.

Unit cell a=5.9460 b=5.9460 c=5.9460 alpha=60.00 beta=60.00 gamma=60.00
Sites, in units of the cell vectors:
O1 0.6250 0.1250 0.1250
O2 0.1250 0.6250 0.1250
O3 0.1250 0.1250 0.1250
O4 0.1250 0.1250 0.6250
W1 0.0000 0.0000 0.0000
W2 0.2500 0.2500 0.2500
Cl1 0.5000 0.5000 0.5000
Cl2 0.7500 0.7500 0.7500

***

First-principles (GGA-PBEsol) data for a relaxed structure of WCl2O2, as listed in Alexandria via LeMat-Bulk.

Computed properties:
The calculation puts the total magnetic moment at 0.0 μB/cell. As for the total energy: -7.243 eV per atom. As for the uncorrected formation energy: -1.58 eV/atom.

Unit cell a=3.8614 b=7.6323 c=8.0826 alpha=90.00 beta=90.00 gamma=90.00
Sites, in units of the cell vectors:
W1 0.5489 0.5164 0.0000
W2 0.4511 0.0164 0.0000
Cl1 0.4830 0.5464 0.2803
Cl2 0.4830 0.5464 0.7197
Cl3 0.5170 0.0464 0.2803
Cl4 0.5170 0.0464 0.7197
O1 0.0084 0.5307 0.0000
O2 0.9916 0.0307 0.0000
O3 0.5050 0.2822 0.0000
O4 0.4950 0.7822 0.0000

***

First-principles (GGA-PBEsol) data for a relaxed structure of ZrWCl2O, as listed in Alexandria via LeMat-Bulk.

Computed properties:
The calculation puts the total magnetic moment at 1.3 μB/cell. Its relative energy among the computed polymorphs is 0 meV/atom. As for the total energy: -6.533 eV per atom. As for the uncorrected formation energy: -0.10 eV/atom.

Unit cell a=3.7353 b=4.9206 c=4.9206 alpha=90.00 beta=90.00 gamma=90.00
Sites, in units of the cell vectors:
O1 0.5000 0.0000 0.0000
Zr1 0.5000 0.5000 0.5000
W1 0.0000 0.0000 0.0000
Cl1 0.0000 0.0000 0.5000
Cl2 0.0000 0.5000 0.0000

***

Repeat the third record exactly.
First-principles (GGA-PBEsol) data for a relaxed structure of TlW2Cl6O2, as listed in Alexandria via LeMat-Bulk.

Computed properties:
The calculation puts the total magnetic moment at 3.0 μB/cell. As for the total energy: -5.957 eV per atom. As for the uncorrected formation energy: -1.16 eV/atom.

Unit cell a=3.7821 b=6.6301 c=11.0644 alpha=71.77 beta=80.16 gamma=73.43
Sites, in units of the cell vectors:
Tl1 0.5000 0.5000 0.5000
W1 0.0024 0.1635 0.8318
W2 0.9976 0.8365 0.1682
Cl1 0.1342 0.7761 0.9555
Cl2 0.8639 0.5409 0.7312
Cl3 0.1416 0.0820 0.6348
Cl4 0.8584 0.9180 0.3652
Cl5 0.1361 0.4591 0.2688
Cl6 0.8658 0.2239 0.0445
O1 0.5025 0.1593 0.8356
O2 0.4975 0.8407 0.1644